1.
Here is a relaxed structure of RbFeS2Cl from Alexandria via LeMat-Bulk. Energies are from PBE.

* E above lowest polymorph: 0 meV/atom
* uncorrected formation energy: -2.2 eV/f.u.
* symmetry: P4/mmm

Lattice parameters (Å, degrees): 4.402 4.402 5.684 90.00 90.00 90.00
Atoms (fractional coordinates):
S 0.000 0.500 0.000
S 0.500 0.000 0.000
Fe 0.000 0.000 0.000
Rb 0.500 0.500 0.500
Cl 0.000 0.000 0.500


2.
Here is a relaxed structure of RbFeS2Cl from Alexandria via LeMat-Bulk. Energies are from PBE.

* E above lowest polymorph: 1732 meV/atom
* uncorrected formation energy: 6.4 eV/f.u.
* symmetry: P4/mmm

Lattice parameters (Å, degrees): 5.422 5.422 5.753 90.00 90.00 90.00
Each line ends with the local moment (μB).
Atoms (fractional coordinates):
S 0.000 0.500 0.000  -0.01
S 0.500 0.000 0.000  -0.01
Fe 0.500 0.500 0.500  -3.42
Rb 0.000 0.000 0.000  0.03
Cl 0.000 0.000 0.500  -0.05


3.
Here is a relaxed structure of RbFeSCl2 from Alexandria via LeMat-Bulk. Energies are from PBE.

* E above lowest polymorph: 1441 meV/atom
* uncorrected formation energy: 3.6 eV/f.u.
* symmetry: P4/mmm

Lattice parameters (Å, degrees): 5.894 5.894 5.845 90.00 90.00 90.00
Each line ends with the local moment (μB).
Atoms (fractional coordinates):
S 0.000 0.000 0.500  0.83
Fe 0.500 0.500 0.500  3.31
Rb 0.000 0.000 0.000  0.04
Cl 0.000 0.500 0.000  0.06
Cl 0.500 0.000 0.000  0.06


4.
Here is a relaxed structure of RbFe2SbCl8 from Alexandria via LeMat-Bulk. Energies are from PBE.

* uncorrected formation energy: -10.7 eV/f.u.
* symmetry: C2/m

Lattice parameters (Å, degrees): 7.102 7.657 9.453 59.96 67.94 62.37
Each line ends with the local moment (μB).
Atoms (fractional coordinates):
Rb 0.500 0.500 0.500  0.00
Fe 0.299 0.237 0.165  3.61
Fe 0.701 0.763 0.835  3.61
Sb 0.000 0.000 0.000  0.40
Cl 0.866 0.614 0.655  0.18
Cl 0.675 0.551 0.100  0.17
Cl 0.134 0.386 0.345  0.18
Cl 0.325 0.449 0.900  0.17
Cl 0.635 0.987 0.232  0.10
Cl 0.365 0.013 0.768  0.10
Cl 0.147 0.987 0.232  0.10
Cl 0.853 0.013 0.768  0.10


5.
Here is a relaxed structure of Rb2ScFeCl6 from Alexandria via LeMat-Bulk. Energies are from PBE.

* uncorrected formation energy: -15.7 eV/f.u.
* symmetry: I4/mmm

Lattice parameters (Å, degrees): 7.473 7.473 6.971 57.59 57.59 90.00
Each line ends with the local moment (μB).
Atoms (fractional coordinates):
Sc 0.500 0.500 0.000  -0.16
Fe 0.000 0.000 0.000  2.94
Rb 0.750 0.250 0.500  0.00
Rb 0.250 0.750 0.500  0.00
Cl 0.241 0.241 0.518  0.03
Cl 0.759 0.759 0.482  0.03
Cl 0.257 0.257 0.000  0.02
Cl 0.743 0.743 0.000  0.02
Cl 0.743 0.257 0.000  0.02
Cl 0.257 0.743 0.000  0.02


6.
Here is a relaxed structure of RbScFeCl6 from Alexandria via LeMat-Bulk. Energies are from PBE.

* uncorrected formation energy: -14.6 eV/f.u.
* symmetry: C2

Lattice parameters (Å, degrees): 6.524 6.525 7.399 90.06 90.03 59.99
Each line ends with the local moment (μB).
Atoms (fractional coordinates):
Rb 0.000 0.000 0.000  0.00
Sc 0.332 0.334 0.500  0.00
Fe 0.666 0.667 0.500  3.50
Cl 0.998 0.378 0.305  0.04
Cl 0.376 0.998 0.693  0.05
Cl 0.627 0.376 0.693  0.05
Cl 0.998 0.624 0.695  0.04
Cl 0.376 0.626 0.307  0.05
Cl 0.627 0.998 0.307  0.05


7.
Here is a relaxed structure of Rb2FeSeCl6 from Alexandria via LeMat-Bulk. Energies are from PBE.

* uncorrected formation energy: -9.6 eV/f.u.
* symmetry: I4/mmm

Lattice parameters (Å, degrees): 7.829 7.829 7.164 56.88 56.88 90.00
Each line ends with the local moment (μB).
Atoms (fractional coordinates):
Cl 0.252 0.252 0.497  0.08
Cl 0.748 0.748 0.503  0.08
Cl 0.282 0.282 0.000  0.03
Cl 0.718 0.718 0.000  0.03
Cl 0.718 0.282 0.000  0.03
Cl 0.282 0.718 0.000  0.03
Se 0.000 0.000 0.000  -0.12
Rb 0.750 0.250 0.500  0.00
Rb 0.250 0.750 0.500  0.00
Fe 0.500 0.500 0.000  3.43


8.
Here is a relaxed structure of RbFe2SnCl8 from Alexandria via LeMat-Bulk. Energies are from PBE.

* uncorrected formation energy: -12.4 eV/f.u.
* symmetry: C2/m

Lattice parameters (Å, degrees): 7.404 7.477 9.708 55.22 67.58 60.32
Each line ends with the local moment (μB).
Atoms (fractional coordinates):
Rb 0.500 0.500 0.500  0.00
Fe 0.299 0.249 0.152  3.60
Fe 0.701 0.751 0.848  3.60
Sn 0.000 0.000 0.000  0.03
Cl 0.881 0.493 0.744  0.12
Cl 0.662 0.551 0.125  0.17
Cl 0.119 0.507 0.256  0.12
Cl 0.338 0.449 0.875  0.17
Cl 0.618 0.006 0.245  0.11
Cl 0.382 0.994 0.755  0.11
Cl 0.132 0.006 0.245  0.11
Cl 0.868 0.994 0.755  0.11